Below is an optimized crystal structure of Ho2CoN, with properties calculated at the PBE level.

```
data_Ho2CoN
_chemical_formula_sum 'Ho6 Co3 N3'
_cell_length_a 3.4531
_cell_length_b 3.4531
_cell_length_c 19.9409
_cell_angle_alpha 90.00
_cell_angle_beta 90.00
_cell_angle_gamma 120.00
_symmetry_space_group_name_H-M 'R -3 m'
_symmetry_Int_Tables_number 166
_symmetry_space_group_name_Hall '-R 3 2"'
loop_
_atom_site_label
_atom_site_type_symbol
_atom_site_fract_x
_atom_site_fract_y
_atom_site_fract_z
_atom_site_occupancy
Ho1 Ho 0.0000 0.0000 0.2364 1
Co1 Co 0.0000 0.0000 0.0000 1
N1 N 0.0000 0.0000 0.5000 1
```

Values from the calculation:
The calculation puts the density of states at the Fermi level at 0.73 states/eV per atom.

Below is an optimized crystal structure of Ho2PuCoN4, with properties calculated at the PBE level.

```
data_Ho2PuCoN4
_chemical_formula_sum 'Ho8 Pu4 Co4 N16'
_cell_length_a 3.3134
_cell_length_b 11.1350
_cell_length_c 11.4833
_cell_angle_alpha 90.00
_cell_angle_beta 90.00
_cell_angle_gamma 90.00
_symmetry_space_group_name_H-M 'C m c m'
_symmetry_Int_Tables_number 63
_symmetry_space_group_name_Hall '-C 2c 2'
loop_
_atom_site_label
_atom_site_type_symbol
_atom_site_fract_x
_atom_site_fract_y
_atom_site_fract_z
_atom_site_occupancy
Ho1 Ho 0.0000 0.1308 0.0513 1
Pu1 Pu 0.0000 0.3903 0.2500 1
Co1 Co 0.0000 0.3467 0.7500 1
N1 N 0.0000 0.0541 0.2500 1
N2 N 0.0000 0.2241 0.6328 1
N3 N 0.0000 0.5000 0.0000 1
```

Values from the calculation:
The calculation puts the density of states at the Fermi level at 1.04 states/eV per atom.

Below is an optimized crystal structure of HoPu2CoN4, with properties calculated at the PBE level.

```
data_HoPu2CoN4
_chemical_formula_sum 'Ho4 Pu8 Co4 N16'
_cell_length_a 3.3739
_cell_length_b 11.1407
_cell_length_c 11.3784
_cell_angle_alpha 90.00
_cell_angle_beta 90.00
_cell_angle_gamma 90.00
_symmetry_space_group_name_H-M 'C m c m'
_symmetry_Int_Tables_number 63
_symmetry_space_group_name_Hall '-C 2c 2'
loop_
_atom_site_label
_atom_site_type_symbol
_atom_site_fract_x
_atom_site_fract_y
_atom_site_fract_z
_atom_site_occupancy
Ho1 Ho 0.0000 0.1066 0.2500 1
Pu1 Pu 0.0000 0.3691 0.0576 1
Co1 Co 0.0000 0.1549 0.7500 1
N1 N 0.0000 0.0000 0.0000 1
N2 N 0.0000 0.2675 0.6176 1
N3 N 0.0000 0.4531 0.2500 1
```

Values from the calculation:
The calculation puts the density of states at the Fermi level at 1.39 states/eV per atom.

Below is an optimized crystal structure of HoCoSiN, with properties calculated at the PBE level.

```
data_HoCoSiN
_chemical_formula_sum 'Ho2 Co2 Si2 N2'
_cell_length_a 3.6740
_cell_length_b 3.6740
_cell_length_c 8.0526
_cell_angle_alpha 90.00
_cell_angle_beta 90.00
_cell_angle_gamma 90.00
_symmetry_space_group_name_H-M 'P 4/n m m'
_symmetry_Int_Tables_number 129
loop_
_symmetry_equiv_pos_as_xyz
'x,y,z'
'-x,-y,-z'
'-y+1/2,x,z'
'y+1/2,-x,-z'
'-x+1/2,-y+1/2,z'
'x+1/2,y+1/2,-z'
'y,-x+1/2,z'
'-y,x+1/2,-z'
'x+1/2,-y,-z'
'-x+1/2,y,z'
'-y,-x,-z'
'y,x,z'
'-x,y+1/2,-z'
'x,-y+1/2,z'
'y+1/2,x+1/2,-z'
'-y+1/2,-x+1/2,z'
loop_
_atom_site_label
_atom_site_type_symbol
_atom_site_fract_x
_atom_site_fract_y
_atom_site_fract_z
_atom_site_occupancy
Ho1 Ho 0.2500 0.2500 0.1574 1
Co1 Co 0.2500 0.7500 0.5000 1
Si1 Si 0.2500 0.2500 0.6549 1
N1 N 0.2500 0.2500 0.8747 1
```

Values from the calculation:
The calculation puts the density of states at the Fermi level at 0.61 states/eV per atom.

no.,E_form (uncorrected) (eV per atom)
1,-0.68
2,-1.05
3,-1.04
4,-1.11